Entry 1:
Material: La2ZnGa3Ni12
Method: DFT, GGA-PBE
State: optimized geometry

Properties
formation enthalpy at 0 K: -0.112 eV/atom

Unit cell a=8.5393 b=8.5393 c=12.2407 alpha=90.00 beta=90.00 gamma=120.00
Space group R-3m (No. 166, hexagonal axes)
Asymmetric unit:
La  0.0000  0.0000  0.1519 (multiplicity 6)
Zn  0.0000  0.0000  0.5000 (multiplicity 3)
Ga  0.0000  0.5000  0.0000 (multiplicity 9)
Ni  0.9997  0.4998  0.3936 (multiplicity 18)
Ni  0.0173  0.5087  0.2004 (multiplicity 18)

***

Entry 2:
Material: LaZn2GaNi
Method: DFT, GGA-PBE
State: optimized geometry

Properties
formation enthalpy at 0 K: -0.374 eV/atom
energy above the most stable polymorph in this dataset: 0.17 eV/f.u.

Unit cell a=4.644 b=4.644 c=4.579 alpha=90.00 beta=90.00 gamma=90.00
Space group P4/mmm (No. 123)
Asymmetric unit:
La  0.000  0.000  0.000 (multiplicity 1)
Zn  0.000  0.500  0.500 (multiplicity 2)
Ga  0.500  0.500  0.000 (multiplicity 1)
Ni  0.500  0.500  0.500 (multiplicity 1)

***

Entry 3:
Material: La2ZnGaNi
Method: DFT, GGA-PBE
State: optimized geometry

Properties
formation enthalpy at 0 K: -0.281 eV/atom

Unit cell a=5.415 b=5.415 c=4.518 alpha=90.00 beta=90.00 gamma=90.00
Space group P4/mmm (No. 123)
Asymmetric unit:
La  0.000  0.500  0.000 (multiplicity 2)
Zn  0.000  0.000  0.500 (multiplicity 1)
Ga  0.500  0.500  0.500 (multiplicity 1)
Ni  0.500  0.500  0.000 (multiplicity 1)

***

Entry 4:
Material: LaNpGa2O8
Method: DFT, GGA-PBE
State: optimized geometry

Properties
formation energy without anion corrections: -2373 meV/atom

Unit cell a=7.455 b=6.174 c=7.520 alpha=90.00 beta=90.08 gamma=90.00
Space group C2/m (No. 12)
Asymmetric unit:
La  0.000  0.000  0.000 (multiplicity 2)
Np  0.000  0.000  0.500 (multiplicity 2)
Ga  0.000  0.500  0.188 (multiplicity 4)
O  0.000  0.222  0.275 (multiplicity 8)
O  0.176  0.500  0.000 (multiplicity 4)
O  0.243  0.000  0.501 (multiplicity 4)

***

Entry 5:
Material: LaGaO3
Method: DFT, GGA-PBE
State: optimized geometry

Properties
formation energy without anion corrections: -1230 meV/atom

Unit cell a=4.414 b=4.414 c=4.414 alpha=90.00 beta=90.00 gamma=90.00
Space group Pm-3m (No. 221)
Asymmetric unit:
La  0.000  0.000  0.000 (multiplicity 1)
Ga  0.500  0.500  0.500 (multiplicity 1)
O  0.000  0.000  0.500 (multiplicity 3)

***

Entry 6:
Material: LaGaO3
Method: DFT, GGA-PBE
State: optimized geometry

Properties
formation energy without anion corrections: -2676 meV/atom

Unit cell a=5.541 b=7.853 c=5.592 alpha=90.00 beta=90.00 gamma=90.00
Space group Imma (No. 74)
Asymmetric unit:
La  0.000  0.250  0.009 (multiplicity 4)
Ga  0.000  0.000  0.500 (multiplicity 4)
O  0.000  0.250  0.582 (multiplicity 4)
O  0.250  0.045  0.250 (multiplicity 8)

***

Entry 7:
Material: La6Ga2O
Method: DFT, GGA-PBE
State: optimized geometry

Properties
formation energy without anion corrections: -702 meV/atom

Unit cell a=3.666 b=15.109 c=8.865 alpha=90.00 beta=90.00 gamma=90.00
Space group Amm2 (No. 38)
Asymmetric unit:
La  0.000  0.000  0.000 (multiplicity 2)
La  0.000  0.103  0.629 (multiplicity 4)
La  0.500  0.000  0.310 (multiplicity 2)
La  0.500  0.205  0.944 (multiplicity 4)
Ga  0.000  0.173  0.240 (multiplicity 4)
O  0.500  0.000  0.814 (multiplicity 2)

***

Entry 8:
Material: LaGaO2
Method: DFT, GGA-PBE
State: optimized geometry

Properties
formation energy without anion corrections: -2022 meV/atom

Unit cell a=5.503 b=5.503 c=11.611 alpha=90.00 beta=90.00 gamma=90.00
Space group I-42d (No. 122)
Asymmetric unit:
La  0.000  0.000  0.000 (multiplicity 4)
Ga  0.000  0.000  0.500 (multiplicity 4)
O  0.206  0.250  0.125 (multiplicity 8)

***

Entry 9:
Material: LaGaO3
Method: DFT, GGA-PBE
State: optimized geometry

Properties
formation energy without anion corrections: -2681 meV/atom

Unit cell a=5.583 b=7.876 c=5.563 alpha=90.00 beta=90.00 gamma=90.00
Space group Pnma (No. 62)
Asymmetric unit:
La  0.033  0.250  0.008 (multiplicity 4)
Ga  0.000  0.000  0.500 (multiplicity 4)
O  0.015  0.750  0.423 (multiplicity 4)
O  0.216  0.541  0.783 (multiplicity 8)

***

Entry 10:
Material: LaGaO3
Method: DFT, GGA-PBE
State: optimized geometry

Properties
formation energy without anion corrections: -2612 meV/atom

Unit cell a=3.878 b=3.878 c=3.878 alpha=90.00 beta=90.00 gamma=90.00
Space group Pm-3m (No. 221)
Asymmetric unit:
La  0.000  0.000  0.000 (multiplicity 1)
Ga  0.500  0.500  0.500 (multiplicity 1)
O  0.000  0.500  0.500 (multiplicity 3)

***

Entry 11:
Material: LaGa2O
Method: DFT, GGA-PBE
State: optimized geometry

Properties
formation energy without anion corrections: -965 meV/atom

Unit cell a=9.353 b=9.353 c=4.431 alpha=90.00 beta=90.00 gamma=90.00
Space group I-42d (No. 122)
Asymmetric unit:
La  0.000  0.000  0.000 (multiplicity 4)
Ga  0.185  0.250  0.625 (multiplicity 8)
O  0.000  0.000  0.500 (multiplicity 4)

***

Entry 12:
Material: La2GaO
Method: DFT, GGA-PBE
State: optimized geometry

Properties
formation energy without anion corrections: -1562 meV/atom

Unit cell a=3.8343 b=3.8343 c=22.2094 alpha=90.00 beta=90.00 gamma=120.00
Space group R-3m (No. 166, hexagonal axes)
Asymmetric unit:
La  0.0000  0.0000  0.2312 (multiplicity 6)
Ga  0.0000  0.0000  0.0000 (multiplicity 3)
O  0.0000  0.0000  0.5000 (multiplicity 3)